{
  "formula": "La2PaHg",
  "functional": "PBE-GGA",
  "state": "optimized geometry",
  "lattice": [[3.322, 0.000, 0.000], [1.661, 2.877, 0.000], [1.661, 0.959, 11.975]],
  "species": ["Pa", "Hg", "La", "La"],
  "fractional_positions": [[0.000, 0.000, 0.000], [0.500, 0.500, 0.500], [0.912, 0.912, 0.264], [0.088, 0.088, 0.736]],
  "magnetic_moment_mub_per_fu": 0.0,
  "relative_energy_mev_per_atom": 270
}